! LiPPdRh2 | Alexandria | PBE | optimized geometry; values from VASP
&SYSTEM
  ibrav = 0, nat = 5, ntyp = 4
/
ATOMIC_SPECIES
P 30.97 P.upf
Rh 102.91 Rh.upf
Li 6.94 Li.upf
Pd 106.42 Pd.upf
ATOMIC_POSITIONS crystal
P 0.500 0.500 0.500
Rh 0.000 0.000 0.500
Rh 0.500 0.000 0.000
Li 0.000 0.000 0.000
Pd 0.000 0.500 0.000
CELL_PARAMETERS angstrom
4.177 0.000 0.000
0.000 4.092 0.000
0.000 0.000 4.177
! energy of formation = 0.674 eV/atom
! symmetry = No. 123
! spin magnetization = 0.00 μB/f.u.